Record 1
{"formula": "TbCo2", "functional": "SCAN", "state": "single point on PBEsol structure", "lattice": [[-0.0103, 4.8025, -1.2929], [-0.5651, 1.2899, -4.7700], [-4.2182, 2.1600, -1.5090]], "species": ["Co", "Co", "Co", "Co", "Tb", "Tb"], "frac_coords": [[0.6250, 0.1250, 0.1250], [0.1250, 0.6250, 0.1250], [0.1250, 0.1250, 0.1250], [0.1250, 0.1250, 0.6250], [0.5000, 0.5000, 0.5000], [0.7500, 0.7500, 0.7500]], "n_ef_per_ev_cell": 5.5, "space_group": "Fd-3m", "formation_energy_ev_per_atom": -0.13, "energy_ry_per_atom": -2.00288, "total_magnetization_mub_per_cell": 3.90}

Record 2
{"formula": "LaTc2Pb", "functional": "SCAN", "state": "single point on PBEsol structure", "lattice": [[3.0744, 0.0000, 0.0013], [0.0000, 4.5298, 0.0000], [-0.0300, 0.0000, 5.7658]], "species": ["Tc", "Tc", "Pb", "La"], "frac_coords": [[0.7624, 0.0000, 0.7010], [0.2376, 0.0000, 0.2990], [0.0000, 0.5000, 0.0000], [0.5000, 0.5000, 0.5000]], "n_ef_per_ev_cell": 3.4, "space_group": "P2/m", "formation_energy_ev_per_atom": 0.54, "energy_ry_per_atom": -3.43310, "total_magnetization_mub_per_cell": 0.00}

Record 3
{"formula": "BaHgSe2", "functional": "SCAN", "state": "single point on PBEsol structure", "lattice": [[3.9753, 0.0000, 0.0000], [0.0000, 5.1248, 0.0000], [0.0000, 0.0000, 5.1248]], "species": ["Se", "Se", "Ba", "Hg"], "frac_coords": [[0.0000, 0.5000, 0.0000], [0.0000, 0.0000, 0.5000], [0.5000, 0.5000, 0.5000], [0.5000, 0.0000, 0.0000]], "n_ef_per_ev_cell": 2.4, "space_group": "P4/mmm", "e_form_raw_ev_per_atom": -0.897, "energy_ry_per_atom": -2.78304, "total_magnetization_mub_per_cell": 0.00}

Record 4
{"formula": "PbBr5", "functional": "SCAN", "state": "single point on PBEsol structure", "lattice": [[-4.7461, -2.5338, 0.2829], [3.0261, 0.5533, 4.4230], [-2.9512, 5.6741, 1.3093]], "species": ["Br", "Br", "Br", "Br", "Br", "Pb"], "frac_coords": [[0.3333, 0.6667, 0.5000], [0.6667, 0.3333, 0.5000], [0.3221, 0.3221, 0.0000], [0.0000, 0.6779, 0.0000], [0.6779, 0.0000, 0.0000], [0.0000, 0.0000, 0.5000]], "n_ef_per_ev_cell": 5.2, "space_group": "P-62m", "e_form_raw_ev_per_atom": -0.024, "e_above_lowest_polymorph_kj_per_mol_fu": 152, "energy_ry_per_atom": -2.12191, "total_magnetization_mub_per_cell": 0.00}

Record 5
{"formula": "LiLaY", "functional": "SCAN", "state": "single point on PBEsol structure", "lattice": [[-2.5583, -2.1086, 0.6203], [3.0095, -1.3992, 0.6011], [-0.5469, 4.4913, 7.3702]], "species": ["Y", "La", "Li"], "frac_coords": [[0.6719, 0.6719, 0.3438], [0.9980, 0.9980, 0.9960], [0.3301, 0.3301, 0.6602]], "n_ef_per_ev_cell": 3.2, "space_group": "Fmm2", "formation_energy_ev_per_atom": 0.14, "e_above_lowest_polymorph_kj_per_mol_fu": 19, "energy_ry_per_atom": -1.78646, "total_magnetization_mub_per_cell": 0.09}

Record 6
{"formula": "BaTePd2", "functional": "SCAN", "state": "single point on PBEsol structure", "lattice": [[-2.6667, 0.3361, 4.4881], [-4.4681, -0.8242, -2.5931], [4.4607, -8.2768, 0.2214]], "species": ["Ba", "Ba", "Pd", "Pd", "Pd", "Pd", "Te", "Te"], "frac_coords": [[0.2500, 0.7500, 0.5000], [0.0000, 0.0000, 0.0000], [0.6762, 0.3750, 0.2500], [0.6250, 0.4262, 0.7500], [0.5738, 0.8750, 0.2500], [0.1250, 0.3238, 0.7500], [0.7500, 0.2500, 0.5000], [0.5000, 0.5000, 0.0000]], "n_ef_per_ev_cell": 1.1, "space_group": "I-42d", "e_form_raw_ev_per_atom": -0.801, "energy_ry_per_atom": -2.67453, "total_magnetization_mub_per_cell": 0.00}

Record 7
{"formula": "HfZr2HN", "functional": "SCAN", "state": "single point on PBEsol structure", "lattice": [[4.0237, 0.0000, 0.0000], [0.0000, 5.2201, 0.0000], [0.0000, 0.0000, 5.2201]], "species": ["Zr", "Zr", "H", "Hf", "N"], "frac_coords": [[0.0000, 0.0000, 0.5000], [0.0000, 0.5000, 0.0000], [0.5000, 0.5000, 0.5000], [0.0000, 0.0000, 0.0000], [0.5000, 0.0000, 0.0000]], "n_ef_per_ev_cell": 5.5, "space_group": "P4/mmm", "energy_ry_per_atom": -1.91357, "total_magnetization_mub_per_cell": 0.02}

Record 8
{"formula": "Ba4GaSn3", "functional": "SCAN", "state": "single point on PBEsol structure", "lattice": [[4.5989, 0.0000, 0.0000], [0.0000, 5.1654, 0.0000], [0.0000, 0.0000, 12.6012]], "species": ["Ba", "Ba", "Ba", "Ba", "Ga", "Sn", "Sn", "Sn"], "frac_coords": [[0.0000, 0.5000, 0.8639], [0.5000, 0.5000, 0.1366], [0.5000, 0.0000, 0.6398], [0.0000, 0.0000, 0.3581], [0.0000, 0.0000, 0.0677], [0.0000, 0.5000, 0.5711], [0.5000, 0.5000, 0.4277], [0.5000, 0.0000, 0.9351]], "n_ef_per_ev_cell": 3.7, "space_group": "Pmm2", "formation_energy_ev_per_atom": -0.72, "energy_ry_per_atom": -2.64674, "total_magnetization_mub_per_cell": 0.30}

Record 9
{"formula": "TaCrS2N", "functional": "SCAN", "state": "single point on PBEsol structure", "lattice": [[-2.1247, 3.2158, -0.1996], [-2.1634, -1.6767, -3.9859], [-3.4079, -2.0824, 2.7256]], "species": ["Cr", "Ta", "N", "S", "S"], "frac_coords": [[0.5000, 0.5000, 0.5000], [0.0000, 0.0000, 0.0000], [0.5000, 0.0000, 0.0000], [0.0000, 0.0000, 0.5000], [0.0000, 0.5000, 0.0000]], "n_ef_per_ev_cell": 2.8, "space_group": "P4/mmm", "e_form_raw_ev_per_atom": -0.210, "energy_ry_per_atom": -1.68410, "total_magnetization_mub_per_cell": 3.96}

Record 10
{"formula": "Ce2NiSn2Pt", "functional": "SCAN", "state": "single point on PBEsol structure", "lattice": [[-4.0229, -1.2497, -1.6256], [2.7610, -6.4300, -1.8893], [-1.9239, -2.8745, 6.9711]], "species": ["Sn", "Sn", "Sn", "Sn", "Pt", "Pt", "Ni", "Ni", "Ce", "Ce", "Ce", "Ce"], "frac_coords": [[0.5000, 0.6834, 0.1748], [0.5000, 0.1834, 0.8252], [0.0000, 0.3257, 0.3466], [0.0000, 0.8257, 0.6534], [0.5000, 0.7813, 0.8393], [0.5000, 0.2813, 0.1607], [0.0000, 0.2045, 0.6632], [0.0000, 0.7045, 0.3368], [0.5000, 0.0174, 0.4472], [0.5000, 0.5174, 0.5528], [0.0000, 0.9877, 0.0537], [0.0000, 0.4877, 0.9463]], "n_ef_per_ev_cell": 14.4, "space_group": "Pmc2_1", "formation_energy_ev_per_atom": -0.90, "energy_ry_per_atom": -3.09598, "total_magnetization_mub_per_cell": 2.68}

Record 11
{"formula": "KMn2Au", "functional": "SCAN", "state": "single point on PBEsol structure", "lattice": [[-0.9750, -2.7204, 0.1363], [0.0783, -0.2970, -5.3682], [5.5318, -0.3044, 2.7904]], "species": ["Mn", "Mn", "Au", "K"], "frac_coords": [[0.7901, 0.7901, 0.5802], [0.2099, 0.2099, 0.4198], [0.5000, 0.0000, 0.0000], [0.0000, 0.5000, 0.0000]], "n_ef_per_ev_cell": 2.4, "space_group": "Immm", "formation_energy_ev_per_atom": 0.16, "e_above_lowest_polymorph_kj_per_mol_fu": 0, "energy_ry_per_atom": -2.08286, "total_magnetization_mub_per_cell": 8.90}

Record 12
{"formula": "BaBe2AlB", "functional": "SCAN", "state": "single point on PBEsol structure", "lattice": [[4.1387, 0.0000, 0.0000], [0.0000, 4.1387, 0.0000], [0.0000, 0.0000, 4.7148]], "species": ["Be", "Be", "Ba", "Al", "B"], "frac_coords": [[0.0000, 0.5000, 0.0000], [0.5000, 0.0000, 0.0000], [0.5000, 0.5000, 0.5000], [0.0000, 0.0000, 0.5000], [0.0000, 0.0000, 0.0000]], "n_ef_per_ev_cell": 3.3, "space_group": "P4/mmm", "formation_energy_ev_per_atom": 0.71, "energy_ry_per_atom": -0.88025, "total_magnetization_mub_per_cell": 0.00}